VASP calculation (PBE with a Hubbard U) on a relaxed CaOsWO2 crystal.

Structure (POSCAR):
```
CaOsWO2
1.0
3.9114 0.0000 0.0000
0.0000 5.9606 0.0000
0.0000 0.0000 3.9114
O W Os Ca
2 1 1 1
direct
0.5000 0.0000 0.0000 O
0.0000 0.0000 0.5000 O
0.5000 0.5000 0.5000 W
0.0000 0.5000 0.0000 Os
0.0000 0.0000 0.0000 Ca
```

Properties
crystal system = tetragonal
E_tot = -0.1782 Ha/atom
magnetic moment = 0.1 Bohr magnetons per cell
D(E_F) = 1.196 states/eV per atom
space group = P4/mmm (123)